Below is a relaxed DyPa2S3 crystal, with properties calculated at the GGA-PBE level.

The value obtained for the energy relative to the elements, uncorrected is -10.36 eV/f.u. The value obtained for the density of states at the Fermi level is 1.33 states/eV per atom. The value obtained for the total energy is -7.722 eV per atom.

The space group is Pnma (No. 62) and the conventional cell measures 7.739, 5.503 and 11.776 Å, with angles of 90.00, 90.00 and 90.00 degrees. The distinct sites, in fractional coordinates, are Dy at (0.128, 0.250, 0.083), Pa at (0.122, 0.250, 0.417), Pa at (0.124, 0.250, 0.751), S at (0.124, 0.750, 0.081), S at (0.125, 0.750, 0.752) and S at (0.127, 0.750, 0.417).